[1]
The following is a DFT calculation (PBE) of BaVH2Ru after structural relaxation.

a = 4.1867 Å, b = 4.1867 Å, c = 4.6326 Å
α = 90.00°, β = 90.00°, γ = 90.00°
Space group P4/mmm (No. 123)
Inequivalent atoms, fractional coordinates:
Ba 0.0000 0.0000 0.0000 [1 per cell]
V 0.5000 0.5000 0.5000 [1 per cell]
H 0.0000 0.5000 0.5000 [2 per cell]
Ru 0.5000 0.5000 0.0000 [1 per cell]

Values from the calculation:
Theoretical density, g/cm³: 6.0
Magnetic moment, μB/atom: 0.3048
Energy, eV/cell: -24.85


[2]
The following is a DFT calculation (PBE) of CeErTl after structural relaxation.

a = 5.4077 Å, b = 5.4077 Å, c = 6.7685 Å
α = 90.00°, β = 90.00°, γ = 120.00°
Space group P3m1 (No. 156)
Inequivalent atoms, fractional coordinates:
Ce 0.0000 0.0000 0.0000 [1 per cell]
Ce 0.3333 0.6667 0.7731 [1 per cell]
Er 0.0000 0.0000 0.4914 [1 per cell]
Er 0.6667 0.3333 0.2429 [1 per cell]
Tl 0.3333 0.6667 0.2684 [1 per cell]
Tl 0.6667 0.3333 0.7328 [1 per cell]

Values from the calculation:
E above lowest polymorph, meV/atom: 34.5
Theoretical density, g/cm³: 9.9
Magnetic moment, μB/atom: 0.5876
Energy, eV/cell: -26.77